# 1
Material: SrCaTc2
Method: DFT, GGA-PBE
State: relaxed

The volume is 98.4 Å³/cell. The value obtained for the magnetic moment is 0.0 μB/cell.

The structure belongs to space group P2/m (No. 10); the cell edges are 3.0604, 4.8487 and 6.6296 Å and the angles 90.00°, 91.05° and 90.00°. The asymmetric unit holds Sr at (0.0000, 0.0000, 0.0000), Ca at (0.0000, 0.0000, 0.5000) and Tc at (0.4908, 0.5000, 0.3317).

# 2
Material: SrCaTc2
Method: DFT, GGA-PBE
State: relaxed

The volume is 376.6 Å³/cell. The value obtained for the magnetic moment is 16.5 μB/cell.

The structure belongs to space group Fm-3m (No. 225); the cell edges are 7.2214, 7.2214 and 7.2214 Å and the angles 90.00°, 90.00° and 90.00°. The asymmetric unit holds Sr at (0.0000, 0.0000, 0.0000), Ca at (0.0000, 0.0000, 0.5000) and Tc at (0.2500, 0.2500, 0.2500).

# 3
Material: Sr3CaTc
Method: DFT, GGA-PBE
State: relaxed

The volume is 212.6 Å³/cell. The value obtained for the magnetic moment is 1.8 μB/cell.

The structure belongs to space group Pm-3m (No. 221); the cell edges are 5.9688, 5.9688 and 5.9688 Å and the angles 90.00°, 90.00° and 90.00°. The asymmetric unit holds Sr at (0.0000, 0.0000, 0.5000), Ca at (0.5000, 0.5000, 0.5000) and Tc at (0.0000, 0.0000, 0.0000).

# 4
Material: SrCa4Tc
Method: DFT, GGA-PBE
State: relaxed

The volume is 928.9 Å³/cell. The value obtained for the magnetic moment is 15.5 μB/cell.

The structure belongs to space group F-43m (No. 216); the cell edges are 9.7572, 9.7572 and 9.7572 Å and the angles 90.00°, 90.00° and 90.00°. The asymmetric unit holds Sr at (0.0000, 0.0000, 0.0000), Ca at (0.1236, 0.1236, 0.3764) and Tc at (0.2500, 0.2500, 0.7500).

# 5
Material: SrCaTc
Method: DFT, GGA-PBE
State: relaxed

The volume is 183.5 Å³/cell. The value obtained for the magnetic moment is 3.7 μB/cell.

The structure belongs to space group I4mm (No. 107); the cell edges are 3.5596, 3.5596 and 14.4785 Å and the angles 90.00°, 90.00° and 90.00°. The asymmetric unit holds Sr at (0.0000, 0.0000, 0.0000), Ca at (0.0000, 0.0000, 0.7420) and Tc at (0.0000, 0.0000, 0.3630).

# 6
Material: Sr3CaTc
Method: DFT, GGA-PBE
State: relaxed

The volume is 218.9 Å³/cell. The value obtained for the magnetic moment is 0.0 μB/cell.

The structure belongs to space group Pm-3m (No. 221); the cell edges are 6.0263, 6.0263 and 6.0263 Å and the angles 90.00°, 90.00° and 90.00°. The asymmetric unit holds Sr at (0.0000, 0.0000, 0.5000), Ca at (0.0000, 0.0000, 0.0000) and Tc at (0.5000, 0.5000, 0.5000).

# 7
Material: SrCaTc2
Method: DFT, GGA-PBE
State: relaxed

The volume is 100.2 Å³/cell. The value obtained for the magnetic moment is 0.0 μB/cell.

The structure belongs to space group P4mm (No. 99); the cell edges are 3.2812, 3.2812 and 9.3102 Å and the angles 90.00°, 90.00° and 90.00°. The asymmetric unit holds Sr at (0.0000, 0.0000, 0.0000), Ca at (0.5000, 0.5000, 0.6090), Tc at (0.0000, 0.0000, 0.3748) and Tc at (0.5000, 0.5000, 0.2556).

# 8
Material: SrCaTc2
Method: DFT, GGA-PBE
State: relaxed

The volume is 166.3 Å³/cell. The value obtained for the magnetic moment is 0.0 μB/cell.

The structure belongs to space group C2/m (No. 12); the cell edges are 5.6168, 10.1131 and 2.9275 Å and the angles 90.00°, 90.16° and 90.00°. The asymmetric unit holds Sr at (0.0000, 0.0000, 0.0000), Ca at (0.0000, 0.5000, 0.0000) and Tc at (0.2500, 0.2500, 0.5000).

# 9
Material: SrCa3Tc
Method: DFT, GGA-PBE
State: relaxed

The volume is 170.1 Å³/cell. The value obtained for the magnetic moment is 0.0 μB/cell.

The structure belongs to space group Pm-3m (No. 221); the cell edges are 5.5410, 5.5410 and 5.5410 Å and the angles 90.00°, 90.00° and 90.00°. The asymmetric unit holds Sr at (0.0000, 0.0000, 0.0000), Ca at (0.0000, 0.0000, 0.5000) and Tc at (0.5000, 0.5000, 0.5000).

# 10
Material: Sr2CaTc
Method: DFT, GGA-PBE
State: relaxed

The volume is 664.9 Å³/cell. The value obtained for the magnetic moment is 4.8 μB/cell.

The structure belongs to space group I-42d (No. 122); the cell edges are 10.8753, 10.8753 and 5.6219 Å and the angles 90.00°, 90.00° and 90.00°. The asymmetric unit holds Sr at (0.1055, 0.2500, 0.1250), Ca at (0.0000, 0.0000, 0.5000) and Tc at (0.0000, 0.0000, 0.0000).

# 11
Material: SrCaTc2
Method: DFT, GGA-PBE
State: relaxed

The volume is 237.6 Å³/cell. The value obtained for the magnetic moment is 0.0 μB/cell.

The structure belongs to space group C2/m (No. 12); the cell edges are 10.9202, 3.8785 and 6.5062 Å and the angles 90.00°, 120.43° and 90.00°. The asymmetric unit holds Sr at (0.0000, 0.0000, 0.0000), Ca at (0.0000, 0.5000, 0.5000) and Tc at (0.2500, 0.0000, 0.6026).

# 12
Material: Sr2CaTc
Method: DFT, GGA-PBE
State: relaxed

The volume is 282.7 Å³/cell. The value obtained for the magnetic moment is 2.7 μB/cell.

The structure belongs to space group Imm2 (No. 44); the cell edges are 3.6481, 5.9475 and 13.0298 Å and the angles 90.00°, 90.00° and 90.00°. The asymmetric unit holds Sr at (0.0000, 0.0000, 0.0000), Sr at (0.0000, 0.5000, 0.1874), Ca at (0.0000, 0.0000, 0.3682) and Tc at (0.0000, 0.5000, 0.6916).

no.,E_tot (eV per cell)
1,-21.54
2,-78.93
3,-14.93
4,-60.65
5,-24.08
6,-8.12
7,-23.09
8,-41.00
9,-8.11
10,-50.54
11,-44.29
12,-26.70